# 1
First-principles (PBE) data for crystalline AlAgAs2 at its relaxed geometry, as listed in OQMD.

abc: 6.664 6.664 6.664
angles: 90.00 90.00 90.00
Space group F-43m (No. 216)
Inequivalent atoms, fractional coordinates:
Al  0.000  0.000  0.000 (multiplicity 4)
Ag  0.250  0.250  0.250 (multiplicity 4)
As  0.000  0.000  0.500 (multiplicity 4)
As  0.250  0.250  0.750 (multiplicity 4)

# 2
First-principles (PBE) data for crystalline Al2AgAs at its relaxed geometry, as listed in OQMD.

abc: 6.660 6.660 6.660
angles: 90.00 90.00 90.00
Space group F-43m (No. 216)
Inequivalent atoms, fractional coordinates:
Al  0.000  0.000  0.000 (multiplicity 4)
Al  0.250  0.250  0.250 (multiplicity 4)
Ag  0.250  0.250  0.750 (multiplicity 4)
As  0.000  0.000  0.500 (multiplicity 4)

# 3
First-principles (PBE) data for crystalline AlAgAs at its relaxed geometry, as listed in OQMD.

abc: 7.351 4.018 7.740
angles: 90.00 90.00 90.00
Space group Pnma (No. 62)
Inequivalent atoms, fractional coordinates:
Al  0.203  0.250  0.076 (multiplicity 4)
Ag  0.010  0.250  0.631 (multiplicity 4)
As  0.147  0.750  0.871 (multiplicity 4)

# 4
First-principles (PBE) data for crystalline AlAgAs at its relaxed geometry, as listed in OQMD.

abc: 6.311 6.311 6.311
angles: 90.00 90.00 90.00
Space group F-43m (No. 216)
Inequivalent atoms, fractional coordinates:
Al  0.000  0.000  0.000 (multiplicity 4)
Ag  0.000  0.000  0.500 (multiplicity 4)
As  0.250  0.250  0.750 (multiplicity 4)

# 5
First-principles (PBE) data for crystalline AlAgAs2H2O8 at its relaxed geometry, as listed in OQMD.

abc: 7.779 9.949 8.698
angles: 90.00 108.83 90.00
Space group C2/c (No. 15)
Inequivalent atoms, fractional coordinates:
Al  0.000  0.138  0.250 (multiplicity 4)
Ag  0.250  0.250  0.000 (multiplicity 4)
As  0.227  0.098  0.642 (multiplicity 8)
H  0.168  0.489  0.546 (multiplicity 8)
O  0.045  0.144  0.481 (multiplicity 8)
O  0.114  0.488  0.423 (multiplicity 8)
O  0.177  0.001  0.281 (multiplicity 8)
O  0.181  0.263  0.248 (multiplicity 8)

# 6
First-principles (PBE) data for crystalline AlAg2Au2 at its relaxed geometry, as listed in OQMD.

abc: 3.860 3.860 13.037
angles: 90.00 90.00 90.00
Space group I4/mmm (No. 139)
Inequivalent atoms, fractional coordinates:
Al  0.000  0.000  0.000 (multiplicity 2)
Ag  0.000  0.500  0.250 (multiplicity 4)
Au  0.000  0.000  0.402 (multiplicity 4)

# 7
First-principles (PBE) data for crystalline AlAgAu2 at its relaxed geometry, as listed in OQMD.

abc: 6.516 6.516 6.516
angles: 90.00 90.00 90.00
Space group F-43m (No. 216)
Inequivalent atoms, fractional coordinates:
Al  0.000  0.000  0.000 (multiplicity 4)
Ag  0.250  0.250  0.250 (multiplicity 4)
Au  0.000  0.000  0.500 (multiplicity 4)
Au  0.250  0.250  0.750 (multiplicity 4)

# 8
First-principles (PBE) data for crystalline Al2AgAu2 at its relaxed geometry, as listed in OQMD.

abc: 4.167 4.167 11.203
angles: 90.00 90.00 90.00
Space group I4/mmm (No. 139)
Inequivalent atoms, fractional coordinates:
Al  0.000  0.000  0.111 (multiplicity 4)
Ag  0.000  0.000  0.500 (multiplicity 2)
Au  0.000  0.500  0.250 (multiplicity 4)

# 9
First-principles (PBE) data for crystalline AlAg2Au at its relaxed geometry, as listed in OQMD.

abc: 6.482 6.482 6.482
angles: 90.00 90.00 90.00
Space group F-43m (No. 216)
Inequivalent atoms, fractional coordinates:
Al  0.000  0.000  0.000 (multiplicity 4)
Ag  0.000  0.000  0.500 (multiplicity 4)
Ag  0.250  0.250  0.750 (multiplicity 4)
Au  0.250  0.250  0.250 (multiplicity 4)

# 10
First-principles (PBE) data for crystalline AlAgAu at its relaxed geometry, as listed in OQMD.

abc: 6.108 6.108 6.108
angles: 90.00 90.00 90.00
Space group F-43m (No. 216)
Inequivalent atoms, fractional coordinates:
Al  0.000  0.000  0.000 (multiplicity 4)
Ag  0.250  0.250  0.750 (multiplicity 4)
Au  0.250  0.250  0.250 (multiplicity 4)

# 11
First-principles (PBE) data for crystalline Al2AgAu2 at its relaxed geometry, as listed in OQMD.

abc: 3.979 3.979 11.885
angles: 90.00 90.00 90.00
Space group I4/mmm (No. 139)
Inequivalent atoms, fractional coordinates:
Al  0.000  0.500  0.250 (multiplicity 4)
Ag  0.000  0.000  0.000 (multiplicity 2)
Au  0.000  0.000  0.386 (multiplicity 4)

# 12
First-principles (PBE) data for crystalline AlAgBAu at its relaxed geometry, as listed in OQMD.

abc: 6.273 6.273 6.273
angles: 90.00 90.00 90.00
Space group F-43m (No. 216)
Inequivalent atoms, fractional coordinates:
Al  0.000  0.000  0.000 (multiplicity 4)
Ag  0.000  0.000  0.500 (multiplicity 4)
B  0.250  0.250  0.750 (multiplicity 4)
Au  0.250  0.250  0.250 (multiplicity 4)

# 13
First-principles (PBE) data for crystalline AlAgBAu at its relaxed geometry, as listed in OQMD.

abc: 6.167 6.167 6.167
angles: 90.00 90.00 90.00
Space group F-43m (No. 216)
Inequivalent atoms, fractional coordinates:
Al  0.000  0.000  0.000 (multiplicity 4)
Ag  0.250  0.250  0.750 (multiplicity 4)
B  0.000  0.000  0.500 (multiplicity 4)
Au  0.250  0.250  0.250 (multiplicity 4)

# 14
First-principles (PBE) data for crystalline Li2Al2Cd2AgAu at its relaxed geometry, as listed in OQMD.

abc: 4.575 4.575 6.429
angles: 90.00 90.00 90.00
Space group P-4m2 (No. 115)
Inequivalent atoms, fractional coordinates:
Li  0.000  0.000  0.000 (multiplicity 1)
Li  0.500  0.500  0.500 (multiplicity 1)
Al  0.000  0.500  0.745 (multiplicity 2)
Cd  0.000  0.500  0.246 (multiplicity 2)
Ag  0.500  0.500  0.000 (multiplicity 1)
Au  0.000  0.000  0.500 (multiplicity 1)

# 15
First-principles (PBE) data for crystalline Li2AlCdAg2Au2 at its relaxed geometry, as listed in OQMD.

abc: 4.495 4.495 6.583
angles: 90.00 90.00 90.00
Space group P-4m2 (No. 115)
Inequivalent atoms, fractional coordinates:
Li  0.000  0.000  0.000 (multiplicity 1)
Li  0.500  0.500  0.500 (multiplicity 1)
Al  0.000  0.000  0.500 (multiplicity 1)
Cd  0.500  0.500  0.000 (multiplicity 1)
Ag  0.000  0.500  0.735 (multiplicity 2)
Au  0.000  0.500  0.276 (multiplicity 2)

# 16
First-principles (PBE) data for crystalline AlCoAgAu at its relaxed geometry, as listed in OQMD.

abc: 6.244 6.244 6.244
angles: 90.00 90.00 90.00
Space group F-43m (No. 216)
Inequivalent atoms, fractional coordinates:
Al  0.000  0.000  0.000 (multiplicity 4)
Co  0.250  0.250  0.250 (multiplicity 4)
Ag  0.000  0.000  0.500 (multiplicity 4)
Au  0.250  0.250  0.750 (multiplicity 4)

# 17
First-principles (PBE) data for crystalline Er2TmAl3AgAu2 at its relaxed geometry, as listed in OQMD.

abc: 4.056 12.586 7.276
angles: 90.00 90.00 90.00
Space group Amm2 (No. 38)
Inequivalent atoms, fractional coordinates:
Er  0.000  0.208  0.000 (multiplicity 4)
Tm  0.000  0.000  0.623 (multiplicity 2)
Al  0.500  0.000  0.962 (multiplicity 2)
Al  0.500  0.123  0.331 (multiplicity 4)
Ag  0.000  0.000  0.209 (multiplicity 2)
Au  0.500  0.166  0.708 (multiplicity 4)

# 18
First-principles (PBE) data for crystalline ErTm2Al3AgAu2 at its relaxed geometry, as listed in OQMD.

abc: 4.051 12.592 7.261
angles: 90.00 90.00 90.00
Space group Amm2 (No. 38)
Inequivalent atoms, fractional coordinates:
Er  0.000  0.000  0.000 (multiplicity 2)
Tm  0.000  0.208  0.623 (multiplicity 4)
Al  0.500  0.000  0.661 (multiplicity 2)
Al  0.500  0.123  0.293 (multiplicity 4)
Ag  0.000  0.000  0.416 (multiplicity 2)
Au  0.500  0.167  0.916 (multiplicity 4)

# 19
First-principles (PBE) data for crystalline Na2AlGaAg2Au2 at its relaxed geometry, as listed in OQMD.

abc: 4.694 4.694 6.632
angles: 90.00 90.00 90.00
Space group P-4m2 (No. 115)
Inequivalent atoms, fractional coordinates:
Na  0.000  0.000  0.000 (multiplicity 1)
Na  0.500  0.500  0.500 (multiplicity 1)
Al  0.000  0.000  0.500 (multiplicity 1)
Ga  0.500  0.500  0.000 (multiplicity 1)
Ag  0.000  0.500  0.749 (multiplicity 2)
Au  0.000  0.500  0.258 (multiplicity 2)

# 20
First-principles (PBE) data for crystalline Hf2Al2AgAu at its relaxed geometry, as listed in OQMD.

abc: 7.687 4.436 14.720
angles: 90.00 100.01 90.00
Space group Pm (No. 6)
Inequivalent atoms, fractional coordinates:
Hf  0.000  0.000  0.000 (multiplicity 1)
Hf  0.000  0.500  0.500 (multiplicity 1)
Hf  0.249  0.500  0.250 (multiplicity 1)
Hf  0.250  0.000  0.750 (multiplicity 1)
Hf  0.500  0.000  0.500 (multiplicity 1)
Hf  0.500  0.500  0.000 (multiplicity 1)
Hf  0.750  0.000  0.250 (multiplicity 1)
Hf  0.750  0.500  0.750 (multiplicity 1)
Al  0.125  0.000  0.375 (multiplicity 1)
Al  0.125  0.500  0.875 (multiplicity 1)
Al  0.375  0.000  0.125 (multiplicity 1)
Al  0.375  0.500  0.625 (multiplicity 1)
Al  0.624  0.500  0.375 (multiplicity 1)
Al  0.625  0.000  0.875 (multiplicity 1)
Al  0.874  0.500  0.125 (multiplicity 1)
Al  0.875  0.000  0.625 (multiplicity 1)
Ag  0.312  0.000  0.937 (multiplicity 1)
Ag  0.312  0.500  0.437 (multiplicity 1)
Ag  0.563  0.500  0.187 (multiplicity 1)
Ag  0.812  0.500  0.937 (multiplicity 1)
Au  0.062  0.000  0.187 (multiplicity 1)
Au  0.062  0.500  0.687 (multiplicity 1)
Au  0.563  0.000  0.687 (multiplicity 1)
Au  0.812  0.000  0.438 (multiplicity 1)

Number 1: E -3.67 eV/atom. Number 2: E -3.53 eV/atom. Number 3: E -3.73 eV/atom. Number 4: E -3.60 eV/atom. Number 5: E -5.81 eV/atom. Number 6: E -3.05 eV/atom. Number 7: E -3.41 eV/atom. Number 8: E -3.41 eV/atom. Number 9: E -3.30 eV/atom. Number 10: E -3.42 eV/atom. Number 11: E -3.55 eV/atom. Number 12: E -3.45 eV/atom. Number 13: E -3.48 eV/atom. Number 14: E -2.64 eV/atom. Number 15: E -2.95 eV/atom. Number 16: E -4.23 eV/atom. Number 17: E -4.48 eV/atom. Number 18: E -4.47 eV/atom. Number 19: E -2.86 eV/atom. Number 20: E -5.84 eV/atom.